Record 1
A plane-wave DFT calculation with PBE-GGA was carried out for a relaxed FeOsRu2 crystal.

a b c (Å): 6.631 6.631 6.631
angles (deg): 133.13 133.13 68.45
Atoms (fractional coordinates):
Fe (0.000, 0.000, 0.000)
Fe (0.750, 0.250, 0.500)
Os (0.250, 0.750, 0.500)
Os (0.500, 0.500, 0.000)
Ru (0.100, 0.625, 0.975)
Ru (0.375, 0.350, 0.475)
Ru (0.650, 0.125, 0.025)
Ru (0.875, 0.900, 0.525)

Results
Total moment   0.0 μB/f.u.
Space group   I-42d
Energy of formation   1.225 eV per atom
N(E_F)   1.598 states/eV per atom

---

Record 2
A plane-wave DFT calculation with PBE-GGA was carried out for a relaxed Zn2TcOs crystal.

a b c (Å): 3.748 3.748 4.101
angles (deg): 90.00 90.00 90.00
Atoms (fractional coordinates):
Zn (0.000, 0.500, 0.000)
Zn (0.500, 0.000, 0.000)
Tc (0.000, 0.000, 0.500)
Os (0.500, 0.500, 0.500)

Results
Offset from the most stable computed form   360 meV per atom
Total moment   0.0 μB/f.u.
Space group   P4/mmm
Energy of formation   0.343 eV per atom
N(E_F)   1.224 states/eV per atom

---

Record 3
A plane-wave DFT calculation with PBE-GGA was carried out for a relaxed MnPd6Au8 crystal.

a b c (Å): 7.634 7.634 5.535
angles (deg): 90.00 90.00 120.00
Atoms (fractional coordinates):
Mn (0.000, 0.000, 0.000)
Pd (0.027, 0.343, 0.135)
Pd (0.315, 0.973, 0.135)
Pd (0.343, 0.315, 0.865)
Pd (0.657, 0.685, 0.135)
Pd (0.685, 0.027, 0.865)
Pd (0.973, 0.657, 0.865)
Au (0.020, 0.338, 0.629)
Au (0.318, 0.980, 0.629)
Au (0.333, 0.667, 0.895)
Au (0.338, 0.318, 0.371)
Au (0.662, 0.682, 0.629)
Au (0.667, 0.333, 0.105)
Au (0.682, 0.020, 0.371)
Au (0.980, 0.662, 0.371)

Results
Offset from the most stable computed form   5 meV per atom
Total moment   4.8 μB/f.u.
Space group   P-3
Energy of formation   0.030 eV per atom
N(E_F)   0.454 states/eV per atom

---

Record 4
A plane-wave DFT calculation with PBE-GGA was carried out for a relaxed CePm15Dy4 crystal.

a b c (Å): 5.130 5.130 25.614
angles (deg): 90.00 90.00 90.00
Atoms (fractional coordinates):
Ce (0.000, 0.000, 0.000)
Pm (0.000, 0.500, 0.099)
Pm (0.000, 0.500, 0.300)
Pm (0.000, 0.500, 0.500)
Pm (0.000, 0.500, 0.700)
Pm (0.000, 0.500, 0.901)
Pm (0.500, 0.000, 0.099)
Pm (0.500, 0.000, 0.300)
Pm (0.500, 0.000, 0.500)
Pm (0.500, 0.000, 0.700)
Pm (0.500, 0.000, 0.901)
Pm (0.500, 0.500, 0.000)
Pm (0.500, 0.500, 0.201)
Pm (0.500, 0.500, 0.400)
Pm (0.500, 0.500, 0.600)
Pm (0.500, 0.500, 0.799)
Dy (0.000, 0.000, 0.200)
Dy (0.000, 0.000, 0.400)
Dy (0.000, 0.000, 0.600)
Dy (0.000, 0.000, 0.800)

Results
Total moment   1.2 μB/f.u.
Space group   P4/mmm
Energy of formation   0.028 eV per atom
N(E_F)   1.619 states/eV per atom

---

Record 5
A plane-wave DFT calculation with PBE-GGA was carried out for a relaxed LaSnAs3 crystal.

a b c (Å): 5.210 5.210 5.210
angles (deg): 90.00 90.00 90.00
Atoms (fractional coordinates):
La (0.000, 0.000, 0.000)
Sn (0.500, 0.500, 0.500)
As (0.000, 0.500, 0.500)
As (0.500, 0.000, 0.500)
As (0.500, 0.500, 0.000)

Results
Offset from the most stable computed form   0 meV per atom
Total moment   0.0 μB/f.u.
Space group   Pm-3m
Energy of formation   0.031 eV per atom
N(E_F)   0.828 states/eV per atom

---

Record 6
A plane-wave DFT calculation with PBE-GGA was carried out for a relaxed Pm8ErSn2 crystal.

a b c (Å): 8.968 8.968 6.397
angles (deg): 94.40 94.40 44.81
Atoms (fractional coordinates):
Pm (0.083, 0.083, 0.398)
Pm (0.147, 0.656, 0.097)
Pm (0.290, 0.290, 0.666)
Pm (0.344, 0.853, 0.903)
Pm (0.656, 0.147, 0.097)
Pm (0.710, 0.710, 0.334)
Pm (0.853, 0.344, 0.903)
Pm (0.917, 0.917, 0.602)
Er (0.500, 0.500, 0.500)
Sn (0.243, 0.243, 0.169)
Sn (0.757, 0.757, 0.831)

Results
Total moment   0.0 μB/f.u.
Space group   C2/m
Energy of formation   -0.177 eV per atom
N(E_F)   1.346 states/eV per atom

---

Record 7
A plane-wave DFT calculation with PBE-GGA was carried out for a relaxed Tb3Pm4Hg4 crystal.

a b c (Å): 10.759 10.759 10.759
angles (deg): 160.39 128.68 55.46
Atoms (fractional coordinates):
Tb (0.000, 0.000, 0.000)
Tb (0.402, 0.902, 0.500)
Tb (0.598, 0.098, 0.500)
Pm (0.020, 0.340, 0.681)
Pm (0.341, 0.660, 0.681)
Pm (0.659, 0.340, 0.319)
Pm (0.980, 0.660, 0.319)
Hg (0.271, 0.271, 0.000)
Hg (0.288, 0.500, 0.788)
Hg (0.712, 0.500, 0.212)
Hg (0.729, 0.729, 0.000)

Results
Total moment   0.0 μB/f.u.
Space group   Immm
Energy of formation   -0.282 eV per atom
N(E_F)   1.438 states/eV per atom

---

Record 8
A plane-wave DFT calculation with PBE-GGA was carried out for a relaxed Pm3ZnO crystal.

a b c (Å): 4.885 4.885 4.885
angles (deg): 90.00 90.00 90.00
Atoms (fractional coordinates):
Pm (0.000, 0.000, 0.500)
Pm (0.000, 0.500, 0.000)
Pm (0.500, 0.000, 0.000)
Zn (0.500, 0.500, 0.500)
O (0.000, 0.000, 0.000)

Results
Raw formation energy   -119.0 kJ/mol of atoms
Total moment   0.0 μB/f.u.
Space group   Pm-3m
N(E_F)   0.839 states/eV per atom

---

Record 9
A plane-wave DFT calculation with PBE-GGA was carried out for a relaxed Te4MoIr crystal.

a b c (Å): 7.225 7.225 6.251
angles (deg): 101.51 101.51 31.10
Atoms (fractional coordinates):
Te (0.000, 0.000, 0.000)
Te (0.232, 0.232, 0.799)
Te (0.536, 0.536, 0.527)
Te (0.777, 0.777, 0.315)
Mo (0.142, 0.142, 0.345)
Ir (0.633, 0.633, 0.958)

Results
Raw formation energy   -20.3 kJ/mol of atoms
Offset from the most stable computed form   0 meV per atom
Total moment   1.0 μB/f.u.
Space group   Cm
N(E_F)   0.153 states/eV per atom

---

Record 10
A plane-wave DFT calculation with PBE-GGA was carried out for a relaxed Ca2NdAg2 crystal.

a b c (Å): 3.717 5.396 14.333
angles (deg): 90.00 97.41 90.00
Atoms (fractional coordinates):
Ca (0.044, 0.250, 0.090)
Ca (0.225, 0.250, 0.450)
Ca (0.775, 0.750, 0.550)
Ca (0.956, 0.750, 0.910)
Nd (0.139, 0.750, 0.280)
Nd (0.861, 0.250, 0.720)
Ag (0.366, 0.750, 0.730)
Ag (0.451, 0.250, 0.900)
Ag (0.549, 0.750, 0.100)
Ag (0.634, 0.250, 0.270)

Results
Offset from the most stable computed form   0 meV per atom
Total moment   0.0 μB/f.u.
Space group   P2_1/m
Energy of formation   -0.196 eV per atom
N(E_F)   0.910 states/eV per atom

---

Record 11
A plane-wave DFT calculation with PBE-GGA was carried out for a relaxed CaMgMoH2 crystal.

a b c (Å): 4.137 4.137 5.711
angles (deg): 90.00 90.00 90.00
Atoms (fractional coordinates):
Ca (0.000, 0.000, 0.000)
Mg (0.500, 0.500, 0.500)
Mo (0.500, 0.500, 0.000)
H (0.000, 0.500, 0.500)
H (0.500, 0.000, 0.500)

Results
Total moment   4.0 μB/f.u.
Space group   P4/mmm
Total DFT energy (no corrections)   -16.07 eV/cell
N(E_F)   0.654 states/eV per atom

---

Record 12
A plane-wave DFT calculation with PBE-GGA was carried out for a relaxed BeCoW2 crystal.

a b c (Å): 4.793 4.793 4.793
angles (deg): 142.73 127.43 66.20
Atoms (fractional coordinates):
Be (0.000, 0.000, 0.000)
Co (0.787, 0.287, 0.500)
W (0.262, 0.762, 0.500)
W (0.531, 0.531, 0.000)

Results
Total moment   1.5 μB/f.u.
Space group   Imm2
Energy of formation   0.178 eV per atom
N(E_F)   0.817 states/eV per atom

---

Question: Which formula does entry 7 have?
Answer: Tb3Pm4Hg4